No. 1
PmPu2PtN4 after structural relaxation. Source: Alexandria via LeMat-Bulk, functional PBE.

a = 6.117 Å, b = 6.117 Å, c = 11.747 Å
α = 90.00°, β = 90.00°, γ = 145.41°
Positions (direct):
Pm (0.064, 0.936, 0.750)
Pm (0.936, 0.064, 0.250)
Pu (0.367, 0.633, 0.560)
Pu (0.367, 0.633, 0.940)
Pu (0.633, 0.367, 0.060)
Pu (0.633, 0.367, 0.440)
Pt (0.229, 0.771, 0.250)
Pt (0.771, 0.229, 0.750)
N (0.000, 0.000, 0.000)
N (0.000, 0.000, 0.500)
N (0.251, 0.749, 0.083)
N (0.251, 0.749, 0.417)
N (0.440, 0.560, 0.750)
N (0.560, 0.440, 0.250)
N (0.749, 0.251, 0.583)
N (0.749, 0.251, 0.917)

Calculated values
SG: Cmcm, No. 63
Formation energy (no corrections) in meV/atom: -909

=====

No. 2
CaAg2Pd6 after structural relaxation. Source: Alexandria via LeMat-Bulk, functional PBE.

a = 5.417 Å, b = 5.417 Å, c = 7.284 Å
α = 90.00°, β = 90.00°, γ = 120.00°
Positions (direct):
Ca (0.000, 0.000, 0.000)
Ag (0.333, 0.667, 0.500)
Ag (0.667, 0.333, 0.500)
Pd (0.000, 0.500, 0.184)
Pd (0.000, 0.500, 0.816)
Pd (0.500, 0.000, 0.184)
Pd (0.500, 0.000, 0.816)
Pd (0.500, 0.500, 0.184)
Pd (0.500, 0.500, 0.816)

Calculated values
DFT formation energy in eV per atom: -0.0134
SG: P6/mmm, No. 191

=====

Number 1: total magnetization 14.00 μB per cell. Number 2: total magnetization 0.00 μB per cell.